Record 1
# Na2Cd3

Crystalline Na2Cd3 at its relaxed geometry (PBE, Alexandria via LeMat-Bulk).

* space group: Cmce, No. 64
* energy of formation: -0.0722 eV per atom

abc: 5.8926 6.1088 8.8879
angles: 90.00 90.00 118.84
Last column: nearest neighbours and their distance in Å.
Atoms (fractional coordinates):
Na  0.6504  0.3008  0.9074  8 Cd 3.27-3.46, 1 Na 3.62
Na  0.8496  0.6992  0.4074  8 Cd 3.27-3.46, 1 Na 3.62
Na  0.1504  0.3008  0.5926  8 Cd 3.27-3.46, 1 Na 3.62
Na  0.3496  0.6992  0.0926  8 Cd 3.27-3.46, 1 Na 3.62
Cd  0.3605  0.2210  0.2500  4 Cd 2.92-2.95
Cd  0.6395  0.7790  0.7500  4 Cd 2.92-2.95
Cd  0.0000  0.0000  0.0000  4 Cd 2.92
Cd  0.5000  0.0000  0.5000  4 Cd 2.92
Cd  0.8605  0.2210  0.2500  4 Cd 2.92-2.95
Cd  0.1395  0.7790  0.7500  4 Cd 2.92-2.95

---

Record 2
# NbFe2W

Crystalline NbFe2W at its relaxed geometry (PBE, Alexandria via LeMat-Bulk).

* space group: P4/mmm, No. 123
* polymorph energy (0 for the lowest one): 0 meV/atom
* energy of formation: 0.0786 eV per atom

abc: 3.0727 4.2836 4.2836
angles: 90.00 90.00 90.00
Last column: nearest neighbours and their distance in Å.
Atoms (fractional coordinates):
Fe  0.0000  0.5000  0.0000  4 Nb 2.64, 4 W 2.64
Fe  0.0000  0.0000  0.5000  4 Nb 2.64, 4 W 2.64
W  0.5000  0.5000  0.5000  8 Fe 2.64
Nb  0.5000  0.0000  0.0000  8 Fe 2.64

---

Record 3
# LaEr3Tm2

Crystalline LaEr3Tm2 at its relaxed geometry (PBE, Alexandria via LeMat-Bulk).

* space group: Cmcm, No. 63
* polymorph energy (0 for the lowest one): 10 meV/atom
* energy of formation: 0.0262 eV per atom

abc: 3.5654 9.4086 11.4972
angles: 90.00 90.00 100.92
Last column: nearest neighbours and their distance in Å.
Atoms (fractional coordinates):
Tm  0.0000  0.0000  0.0000  6 Er 3.49-3.53, 6 Tm 3.53-3.57
Tm  0.5538  0.1076  0.2500  4 Er 3.47-3.57, 6 Tm 3.53-3.57, 2 La 3.56
Tm  0.0000  0.0000  0.5000  6 Er 3.49-3.53, 6 Tm 3.53-3.57
Tm  0.4462  0.8924  0.7500  4 Er 3.47-3.57, 6 Tm 3.53-3.57, 2 La 3.56
Er  0.6646  0.3293  0.9955  6 Er 3.50-3.62, 3 Tm 3.53-3.57, 3 La 3.53-3.58
Er  0.3354  0.6707  0.0045  6 Er 3.50-3.62, 3 Tm 3.53-3.57, 3 La 3.53-3.58
Er  0.6646  0.3293  0.5045  6 Er 3.50-3.62, 3 Tm 3.53-3.57, 3 La 3.53-3.58
Er  0.1071  0.2143  0.7500  4 Tm 3.47-3.49, 6 Er 3.50-3.57, 2 La 3.64
Er  0.8929  0.7857  0.2500  4 Tm 3.47-3.49, 6 Er 3.50-3.57, 2 La 3.64
Er  0.3354  0.6707  0.4955  6 Er 3.50-3.62, 3 Tm 3.53-3.57, 3 La 3.53-3.58
La  0.7791  0.5583  0.7500  8 Er 3.53-3.64, 2 Tm 3.56, 2 La 3.57
La  0.2209  0.4417  0.2500  8 Er 3.53-3.64, 2 Tm 3.56, 2 La 3.57

---

Record 4
# Dy4Tl3Ir

Crystalline Dy4Tl3Ir at its relaxed geometry (PBE, Alexandria via LeMat-Bulk).

* space group: P4/mmm, No. 123
* energy of formation: -0.4794 eV per atom

abc: 3.5663 3.5663 16.0444
angles: 90.00 90.00 90.00
Last column: nearest neighbours and their distance in Å.
Atoms (fractional coordinates):
Tl  0.5000  0.5000  0.2391  8 Dy 3.26-3.36, 4 Tl 3.57
Tl  0.5000  0.5000  0.5000  8 Dy 3.29, 4 Tl 3.57
Tl  0.5000  0.5000  0.7609  8 Dy 3.26-3.36, 4 Tl 3.57
Dy  0.0000  0.0000  0.1006  4 Ir 2.99, 1 Dy 3.23
Dy  0.0000  0.0000  0.6320  8 Tl 3.26-3.29, 4 Dy 3.57
Dy  0.0000  0.0000  0.8994  4 Ir 2.99, 1 Dy 3.23
Dy  0.0000  0.0000  0.3680  8 Tl 3.26-3.29, 4 Dy 3.57
Ir  0.5000  0.5000  0.0000  8 Dy 2.99

---

Record 5
# Pm2PrNd3Se6

Crystalline Pm2PrNd3Se6 at its relaxed geometry (PBE, Alexandria via LeMat-Bulk).

* ΔE_f (raw): -1.8406 eV per atom
* space group: C2/m, No. 12

abc: 7.3249 7.3249 7.3223
angles: 99.57 99.57 120.25
Last column: nearest neighbours and their distance in Å.
Atoms (fractional coordinates):
Nd  0.5000  0.5000  0.5000  6 Se 2.97-3.00
Nd  0.8355  0.1645  0.5000  6 Se 2.99-3.00
Nd  0.1645  0.8355  0.5000  6 Se 2.99-3.00
Se  0.9168  0.5798  0.7504  2 Pm 2.97-2.98, 3 Nd 2.99-3.00, 1 Pr 3.01
Se  0.0832  0.4202  0.2496  2 Pm 2.97-2.98, 3 Nd 2.99-3.00, 1 Pr 3.01
Se  0.2544  0.2544  0.7522  2 Pm 2.97, 3 Nd 2.97-2.99, 1 Pr 3.00
Se  0.5798  0.9168  0.7504  2 Pm 2.97-2.98, 3 Nd 2.99-3.00, 1 Pr 3.01
Se  0.7456  0.7456  0.2478  2 Pm 2.97, 3 Nd 2.97-2.99, 1 Pr 3.00
Se  0.4202  0.0832  0.2496  2 Pm 2.97-2.98, 3 Nd 2.99-3.00, 1 Pr 3.01
Pr  0.0000  0.0000  0.0000  6 Se 3.00-3.01
Pm  0.3336  0.6664  0.0000  6 Se 2.97-2.98
Pm  0.6664  0.3336  0.0000  6 Se 2.97-2.98

---

Record 6
# CoRe2Rh2

Crystalline CoRe2Rh2 at its relaxed geometry (PBE, Alexandria via LeMat-Bulk).

* space group: P4/mbm, No. 127
* polymorph energy (0 for the lowest one): 0 meV/atom
* energy of formation: 0.4511 eV per atom

abc: 7.4851 7.4851 2.7096
angles: 90.00 90.00 90.00
Last column: nearest neighbours and their distance in Å.
Atoms (fractional coordinates):
Co  0.0000  0.0000  0.0000  2 Co 2.71, 4 Re 2.97
Co  0.5000  0.5000  0.0000  2 Co 2.71, 4 Re 2.97
Re  0.8770  0.6230  0.0000  6 Rh 2.57-2.61, 3 Re 2.60-2.71
Re  0.6230  0.1230  0.0000  6 Rh 2.57-2.61, 3 Re 2.60-2.71
Re  0.3770  0.8770  0.0000  6 Rh 2.57-2.61, 3 Re 2.60-2.71
Re  0.1230  0.3770  0.0000  6 Rh 2.57-2.61, 3 Re 2.60-2.71
Rh  0.3289  0.1711  0.5000  6 Re 2.57-2.61, 2 Rh 2.71
Rh  0.1711  0.6711  0.5000  6 Re 2.57-2.61, 2 Rh 2.71
Rh  0.8289  0.3289  0.5000  6 Re 2.57-2.61, 2 Rh 2.71
Rh  0.6711  0.8289  0.5000  6 Re 2.57-2.61, 2 Rh 2.71

---

| no. | DOS(E_F) (states/eV/cell) |
| --- | --- |
| 1 | 3.33 |
| 2 | 4.08 |
| 3 | 17.64 |
| 4 | 5.09 |
| 5 | 5.64 |
| 6 | 16.63 |